Here is a relaxed PuHgAu crystal from OQMD via LeMat-Bulk. Energies are from PBE-GGA.

Geometry as POSCAR:
```
PuHgAu
1.0
-2.5077 3.1047 4.3739
2.5077 -3.1047 4.3739
2.5077 3.1047 -4.3739
Pu Hg Au
2 2 2
direct
0.2473 0.0000 0.2473
0.7527 0.0000 0.7527
0.3308 0.3308 0.0000
0.6692 0.6692 0.0000
0.1643 0.6643 0.5000
0.8357 0.3357 0.5000
```

Values from the calculation:
ΔE_f	-416	meV per atom
raw total energy	-37.9	eV for the cell shown